# 1
A plane-wave DFT calculation with PBE-GGA was carried out for an optimized crystal structure of Ce2CdCu4Ge3.

The structure in CIF format:
```
data_Ce2CdCu4Ge3
_cell_length_a 4.2022
_cell_length_b 4.2022
_cell_length_c 10.3766
_cell_angle_alpha 90.00
_cell_angle_beta 90.00
_cell_angle_gamma 90.00
_symmetry_space_group_name_H-M 'P -4 m 2'
_symmetry_Int_Tables_number 115
_symmetry_space_group_name_Hall 'P -4 -2'
loop_
_atom_site_label
_atom_site_fract_x
_atom_site_fract_y
_atom_site_fract_z
Ce1 0.0000 0.5000 0.2326
Cd1 0.0000 0.0000 0.5000
Cu1 0.0000 0.0000 0.0000
Cu2 0.0000 0.5000 0.6442
Cu3 0.5000 0.5000 0.0000
Ge1 0.0000 0.5000 0.8716
Ge2 0.5000 0.5000 0.5000
```

Properties
**Final energy**: -4.70 eV/atom
**Energy relative to the elements**: -0.40 eV/atom
**D(E_F)**: 12.0 states/eV/cell

# 2
A plane-wave DFT calculation with PBE-GGA was carried out for an optimized crystal structure of NaPr2Dy.

The structure in CIF format:
```
data_NaPr2Dy
_cell_length_a 3.5708
_cell_length_b 3.5708
_cell_length_c 11.0134
_cell_angle_alpha 90.00
_cell_angle_beta 90.00
_cell_angle_gamma 90.00
_symmetry_space_group_name_H-M 'P 4/m m m'
_symmetry_Int_Tables_number 123
_symmetry_space_group_name_Hall '-P 4 2'
loop_
_atom_site_label
_atom_site_fract_x
_atom_site_fract_y
_atom_site_fract_z
Na1 0.0000 0.0000 0.0000
Pr1 0.5000 0.5000 0.2672
Dy1 0.0000 0.0000 0.5000
```

Properties
**Final energy**: -3.78 eV/atom
**Energy relative to the elements**: 0.09 eV/atom
**D(E_F)**: 4.0 states/eV/cell

# 3
A plane-wave DFT calculation with PBE-GGA was carried out for an optimized crystal structure of Rb5P3Pt3.

The structure in CIF format:
```
data_Rb5P3Pt3
_cell_length_a 10.4801
_cell_length_b 10.4801
_cell_length_c 4.3850
_cell_angle_alpha 90.00
_cell_angle_beta 90.00
_cell_angle_gamma 120.00
_symmetry_space_group_name_H-M 'P -6 2 m'
_symmetry_Int_Tables_number 189
_symmetry_space_group_name_Hall 'P -6 -2'
loop_
_atom_site_label
_atom_site_fract_x
_atom_site_fract_y
_atom_site_fract_z
Rb1 0.0000 0.7286 0.0000
Rb2 0.3333 0.6667 0.0000
P1 0.0000 0.3635 0.0000
Pt1 0.0000 0.3626 0.5000
```

Properties
**Final energy**: -4.01 eV/atom
**Energy relative to the elements**: -0.45 eV/atom
**D(E_F)**: 6.7 states/eV/cell

# 4
A plane-wave DFT calculation with PBE-GGA was carried out for an optimized crystal structure of LiCoIBr2.

The structure in CIF format:
```
data_LiCoIBr2
_cell_length_a 4.6677
_cell_length_b 4.6677
_cell_length_c 8.5058
_cell_angle_alpha 90.00
_cell_angle_beta 90.00
_cell_angle_gamma 90.00
_symmetry_space_group_name_H-M 'P 4/m m m'
_symmetry_Int_Tables_number 123
_symmetry_space_group_name_Hall '-P 4 2'
loop_
_atom_site_label
_atom_site_fract_x
_atom_site_fract_y
_atom_site_fract_z
Li1 0.0000 0.0000 0.0000
Co1 0.0000 0.0000 0.5000
I1 0.5000 0.5000 0.0000
Br1 0.0000 0.5000 0.5000
```

Properties
**Final energy**: -3.03 eV/atom
**Raw formation energy**: -1.2 eV per formula unit
**D(E_F)**: 4.0 states/eV/cell

# 5
A plane-wave DFT calculation with PBE-GGA was carried out for an optimized crystal structure of CoSb3S.

The structure in CIF format:
```
data_CoSb3S
_cell_length_a 4.9123
_cell_length_b 4.9123
_cell_length_c 4.9123
_cell_angle_alpha 90.00
_cell_angle_beta 90.00
_cell_angle_gamma 90.00
_symmetry_space_group_name_H-M 'P m -3 m'
_symmetry_Int_Tables_number 221
_symmetry_space_group_name_Hall '-P 4 2 3'
loop_
_atom_site_label
_atom_site_fract_x
_atom_site_fract_y
_atom_site_fract_z
Co1 0.0000 0.0000 0.0000
Sb1 0.0000 0.0000 0.5000
S1 0.5000 0.5000 0.5000
```

Properties
**Final energy**: -4.32 eV/atom
**Raw formation energy**: 2.0 eV per formula unit
**D(E_F)**: 4.1 states/eV/cell

# 6
A plane-wave DFT calculation with PBE-GGA was carried out for an optimized crystal structure of Mg2BeCd.

The structure in CIF format:
```
data_Mg2BeCd
_cell_length_a 3.1240
_cell_length_b 3.1240
_cell_length_c 27.3499
_cell_angle_alpha 90.00
_cell_angle_beta 90.00
_cell_angle_gamma 120.00
_symmetry_space_group_name_H-M 'R 3 m'
_symmetry_Int_Tables_number 160
_symmetry_space_group_name_Hall 'R 3 -2"'
loop_
_atom_site_label
_atom_site_fract_x
_atom_site_fract_y
_atom_site_fract_z
Mg1 0.0000 0.0000 0.0000
Mg2 0.0000 0.0000 0.2346
Be1 0.0000 0.0000 0.4964
Cd1 0.0000 0.0000 0.7611
```

Properties
**Final energy**: -1.69 eV/atom
**Energy relative to the elements**: 0.27 eV/atom
**D(E_F)**: 1.4 states/eV/cell

# 7
A plane-wave DFT calculation with PBE-GGA was carried out for an optimized crystal structure of CsMgCd2Sn2.

The structure in CIF format:
```
data_CsMgCd2Sn2
_cell_length_a 4.9923
_cell_length_b 4.9923
_cell_length_c 9.1050
_cell_angle_alpha 90.00
_cell_angle_beta 90.00
_cell_angle_gamma 120.00
_symmetry_space_group_name_H-M 'P -3 m 1'
_symmetry_Int_Tables_number 164
_symmetry_space_group_name_Hall '-P 3 2"'
loop_
_atom_site_label
_atom_site_fract_x
_atom_site_fract_y
_atom_site_fract_z
Cs1 0.0000 0.0000 0.0000
Mg1 0.0000 0.0000 0.5000
Cd1 0.3333 0.6667 0.6594
Sn1 0.3333 0.6667 0.3096
```

Properties
**Final energy**: -2.15 eV/atom
**Energy relative to the elements**: -0.11 eV/atom
**D(E_F)**: 2.8 states/eV/cell

# 8
A plane-wave DFT calculation with PBE-GGA was carried out for an optimized crystal structure of RbLiAuO2.

The structure in CIF format:
```
data_RbLiAuO2
_cell_length_a 5.3133
_cell_length_b 11.9763
_cell_length_c 5.4580
_cell_angle_alpha 90.00
_cell_angle_beta 90.00
_cell_angle_gamma 90.00
_symmetry_space_group_name_H-M 'C m m e'
_symmetry_Int_Tables_number 67
_symmetry_space_group_name_Hall '-C 2a 2'
loop_
_atom_site_label
_atom_site_fract_x
_atom_site_fract_y
_atom_site_fract_z
Rb1 0.0000 0.2500 0.2108
Li1 0.2500 0.0000 0.0000
Au1 0.0000 0.0000 0.5000
O1 0.0000 0.0909 0.8086
```

Properties
**Final energy**: -4.23 eV/atom
**Raw formation energy**: -5.1 eV per formula unit
**D(E_F)**: 10.4 states/eV/cell